{"formula": "LaBe2W", "functional": "meta-GGA SCAN", "state": "single point on PBEsol structure", "lattice_angstrom": [[-1.445, 3.947, 0.381], [-3.940, -1.383, -0.613], [1.801, -2.406, 8.380]], "species": ["La", "W", "Be", "Be", "Be", "La", "Be", "W"], "fractional_positions": [[0.750, 0.250, 0.500], [0.000, 0.000, 0.000], [0.125, 0.875, 0.750], [0.125, 0.375, 0.250], [0.125, 0.875, 0.250], [0.500, 0.500, 0.000], [0.625, 0.875, 0.750], [0.250, 0.750, 0.500]], "space_group": "I4_1/amd (141)", "e_form_ev_per_atom": 0.7199, "magnetic_moment_mub_per_cell": 0.00, "relative_energy_kj_per_mol_atoms": 2.15}

=====

{"formula": "LaBeW", "functional": "meta-GGA SCAN", "state": "single point on PBEsol structure", "lattice_angstrom": [[2.922, 0.000, 0.000], [-1.461, 2.530, 0.000], [0.000, 0.000, 7.274]], "species": ["La", "Be", "W"], "fractional_positions": [[0.333, 0.667, 0.677], [0.000, 0.000, 0.035], [0.667, 0.333, 0.288]], "space_group": "P3m1 (156)", "e_form_ev_per_atom": 0.8976, "magnetic_moment_mub_per_cell": 0.00}